[1]
Density functional theory data (PBEsol) for an optimized crystal structure of Pd3BrCl.

Properties
D(E_F) ... 0.666 states/eV/atom
Total magnetization ... 0.00 μB per formula unit
Raw formation energy ... 0.60 eV per atom
Excess energy over the best structure of this formula in the dataset ... 167 meV/atom

Geometry as POSCAR:
```
Pd3BrCl
1.0
4.7103 0.0000 0.0000
0.0000 4.7103 0.0000
0.0000 0.0000 4.7103
Br Pd Cl
1 3 1
Direct
0.0000 0.0000 0.0000
0.0000 0.5000 0.0000
0.0000 0.0000 0.5000
0.5000 0.0000 0.0000
0.5000 0.5000 0.5000
```


[2]
Density functional theory data (PBEsol) for an optimized crystal structure of Pd3BrCl.

Properties
D(E_F) ... 0.621 states/eV/atom
Total magnetization ... 0.00 μB per formula unit
Raw formation energy ... 0.43 eV per atom
Excess energy over the best structure of this formula in the dataset ... 0 meV/atom

Geometry as POSCAR:
```
Pd3BrCl
1.0
-3.4475 -2.8684 0.7937
2.9675 -3.4060 0.5801
0.2282 0.9562 4.4471
Br Pd Cl
1 3 1
Direct
0.5000 0.5000 0.5000
0.0000 0.5000 0.0000
0.0000 0.0000 0.5000
0.5000 0.0000 0.0000
0.0000 0.0000 0.0000
```